This record from the Open Quantum Materials Database describes a relaxed LuBiN2O crystal. The functional is GGA-PBE.

Computed properties:
Total DFT energy (no corrections) = -6.700 eV per atom
Total magnetization = 0.000 μB per atom
V = 69.0 Å³/f.u.
SG = No. 14

Lattice parameters (Å, degrees): 8.044 8.113 11.451 90.00 132.38 90.00
Positions (direct):
Bi  0.968  0.004  0.223
Bi  0.483  0.015  0.228
Bi  0.483  0.485  0.728
Bi  0.517  0.515  0.272
Bi  0.968  0.496  0.723
Bi  0.032  0.996  0.777
Bi  0.032  0.504  0.277
Bi  0.517  0.985  0.772
N  0.419  0.736  0.636
N  0.086  0.244  0.723
N  0.914  0.744  0.777
N  0.807  0.885  0.999
N  0.291  0.620  0.297
N  0.709  0.380  0.703
N  0.291  0.880  0.797
N  0.193  0.385  0.501
N  0.419  0.764  0.136
N  0.807  0.615  0.499
N  0.193  0.115  0.001
N  0.709  0.120  0.203
N  0.581  0.264  0.364
N  0.086  0.256  0.223
N  0.581  0.236  0.864
N  0.914  0.756  0.277
O  0.660  0.026  0.660
O  0.660  0.474  0.160
O  0.340  0.974  0.340
O  0.340  0.526  0.840
O  0.815  0.964  0.494
O  0.185  0.036  0.506
O  0.815  0.536  0.994
O  0.185  0.464  0.006
Lu  0.437  0.284  0.980
Lu  0.949  0.211  0.475
Lu  0.437  0.216  0.480
Lu  0.563  0.716  0.020
Lu  0.051  0.711  0.025
Lu  0.051  0.789  0.525
Lu  0.563  0.784  0.520
Lu  0.949  0.289  0.975